Material: Y2TcTeO
Method: DFT, PBE
State: relaxed

a b c (Å): 5.694 5.694 4.728
angles (deg): 90.00 90.00 90.00
Fractional coordinates of all 5 atoms:
Y  0.000  0.500  0.000
Y  0.500  0.000  0.000
Tc  0.000  0.000  0.500
Te  0.000  0.000  0.000
O  0.500  0.500  0.500

## Properties
**Space-group type**: P4/mmm
**Electronic total energy**: -5.56 eV/atom

Material: ZrTcTeO2
Method: DFT, PBE
State: relaxed

a b c (Å): 3.905 3.905 5.810
angles (deg): 90.00 90.00 90.00
Fractional coordinates of all 5 atoms:
Zr  0.000  0.000  0.000
Tc  0.000  0.000  0.500
Te  0.500  0.500  0.000
O  0.000  0.500  0.500
O  0.500  0.000  0.500

## Properties
**Space-group type**: P4/mmm
**Electronic total energy**: -7.24 eV/atom

no.,ΔE_f (raw) (meV/atom),spin magnetization (μB/f.u.)
1,717,0.82
2,-843,0.00